Entry 1:
A plane-wave DFT calculation with PBE was carried out for NdTlPb after structural relaxation.

Cell: 4.9450 4.9450 4.3791 Å, 90.00 90.00 120.00°
Space group P3m1 (No. 156)
One atom of each set of equivalent atoms:
Nd  0.0000  0.0000  0.0000 x1
Tl  0.3333  0.6667  0.3362 x1
Pb  0.6667  0.3333  0.6242 x1

Computed properties:
Formation energy from the elements, eV/f.u.: -0.957
DOS(E_F), states/eV/atom: 0.244
Volume, Å³/atom: 30.91
Excess energy over the best structure of this formula in the dataset, eV per atom: 0.024
Total DFT energy (no corrections), eV/atom: -3.93

=====

Entry 2:
A plane-wave DFT calculation with PBE was carried out for Nd6TlPb after structural relaxation.

Cell: 5.0015 5.0015 9.9829 Å, 90.00 90.00 90.00°
Space group P4/mmm (No. 123)
One atom of each set of equivalent atoms:
Nd  0.0000  0.0000  0.0000 x1
Nd  0.0000  0.0000  0.5000 x1
Nd  0.0000  0.5000  0.2501 x4
Tl  0.5000  0.5000  0.0000 x1
Pb  0.5000  0.5000  0.5000 x1

Computed properties:
Formation energy from the elements, eV/f.u.: -2.206
DOS(E_F), states/eV/atom: 1.616
Volume, Å³/atom: 31.21
Total DFT energy (no corrections), eV/atom: -4.61

=====

Entry 3:
A plane-wave DFT calculation with PBE was carried out for Nd3TlPb2 after structural relaxation.

Cell: 17.4669 6.5931 6.5094 Å, 90.00 101.58 90.00°
Space group C2/c (No. 15)
One atom of each set of equivalent atoms:
Nd  0.0000  0.1316  0.2500 x4
Nd  0.1701  0.3841  0.6023 x8
Tl  0.0000  0.3746  0.7500 x4
Pb  0.1615  0.1104  0.0679 x8

Computed properties:
Formation energy from the elements, eV/f.u.: -2.658
DOS(E_F), states/eV/atom: 0.740
Volume, Å³/atom: 30.60
Excess energy over the best structure of this formula in the dataset, eV per atom: 0.000
Total DFT energy (no corrections), eV/atom: -4.46

=====

Entry 4:
A plane-wave DFT calculation with PBE was carried out for Nd5TlPb2 after structural relaxation.

Cell: 8.4934 8.4934 14.3832 Å, 90.00 90.00 90.00°
Space group I4/mcm (No. 140)
One atom of each set of equivalent atoms:
Nd  0.0000  0.0000  0.0000 x4
Nd  0.1625  0.3375  0.1513 x16
Tl  0.0000  0.0000  0.2500 x4
Pb  0.1388  0.3612  0.5000 x8

Computed properties:
Formation energy from the elements, eV/f.u.: -3.276
DOS(E_F), states/eV/atom: 1.018
Volume, Å³/atom: 32.42
Total DFT energy (no corrections), eV/atom: -4.61

=====

Entry 5:
A plane-wave DFT calculation with PBE was carried out for Nd5Tl2Pb after structural relaxation.

Cell: 8.7661 8.7661 13.3412 Å, 90.00 90.00 90.00°
Space group I4/mcm (No. 140)
One atom of each set of equivalent atoms:
Nd  0.0000  0.0000  0.0000 x4
Nd  0.1576  0.3424  0.1505 x16
Tl  0.1416  0.3584  0.5000 x8
Pb  0.0000  0.0000  0.2500 x4

Computed properties:
Formation energy from the elements, eV/f.u.: -2.954
DOS(E_F), states/eV/atom: 0.894
Volume, Å³/atom: 32.04
Total DFT energy (no corrections), eV/atom: -4.40

=====

Entry 6:
A plane-wave DFT calculation with PBE was carried out for Nd4Tl2Pb after structural relaxation.

Cell: 9.6490 9.6490 9.6775 Å, 90.00 90.00 90.00°
Space group I-42d (No. 122)
One atom of each set of equivalent atoms:
Nd  0.0720  0.1770  0.3030 x16
Tl  0.1237  0.2500  0.6250 x8
Pb  0.0000  0.0000  0.0000 x4

Computed properties:
Formation energy from the elements, eV/f.u.: -2.631
DOS(E_F), states/eV/atom: 1.064
Volume, Å³/atom: 32.18
Excess energy over the best structure of this formula in the dataset, eV per atom: 0.000
Total DFT energy (no corrections), eV/atom: -4.31

=====

Entry 7:
A plane-wave DFT calculation with PBE was carried out for Nd3TlPb after structural relaxation.

Cell: 9.7054 15.1051 8.9110 Å, 90.00 92.05 90.00°
Space group C2/c (No. 15)
One atom of each set of equivalent atoms:
Nd  0.0698  0.1528  0.0733 x8
Nd  0.1956  0.4666  0.5948 x8
Nd  0.1995  0.2086  0.6879 x8
Tl  0.0905  0.3511  0.9140 x8
Pb  0.0000  0.0368  0.7500 x4
Pb  0.0000  0.3748  0.2500 x4

Computed properties:
Formation energy from the elements, eV/f.u.: -1.578
DOS(E_F), states/eV/atom: 1.034
Volume, Å³/atom: 32.64
Total DFT energy (no corrections), eV/atom: -4.39

=====

Entry 8:
A plane-wave DFT calculation with PBE was carried out for Nd8TlPb2 after structural relaxation.

Cell: 20.0686 5.3330 7.0707 Å, 90.00 103.23 90.00°
Space group C2/m (No. 12)
One atom of each set of equivalent atoms:
Nd  0.0154  0.0000  0.2633 x4
Nd  0.0917  0.5000  0.9811 x4
Nd  0.1588  0.5000  0.5075 x4
Nd  0.2126  0.0000  0.8303 x4
Tl  0.0000  0.5000  0.5000 x2
Pb  0.1795  0.0000  0.2642 x4

Computed properties:
Formation energy from the elements, eV/f.u.: -2.617
DOS(E_F), states/eV/atom: 1.208
Volume, Å³/atom: 33.48
Total DFT energy (no corrections), eV/atom: -4.59

=====

Entry 9:
A plane-wave DFT calculation with PBE was carried out for NdTl2Pb after structural relaxation.

Cell: 4.7636 4.7636 5.0744 Å, 90.00 90.00 90.00°
Space group P4/mmm (No. 123)
One atom of each set of equivalent atoms:
Nd  0.0000  0.0000  0.0000 x1
Tl  0.0000  0.5000  0.5000 x2
Pb  0.5000  0.5000  0.0000 x1

Computed properties:
Formation energy from the elements, eV/f.u.: -1.339
DOS(E_F), states/eV/atom: 0.482
Volume, Å³/atom: 28.79
Total DFT energy (no corrections), eV/atom: -3.64

=====

Entry 10:
A plane-wave DFT calculation with PBE was carried out for NdTlPb after structural relaxation.

Cell: 4.7155 11.5110 6.6885 Å, 90.00 90.00 90.00°
Space group Cmcm (No. 63)
One atom of each set of equivalent atoms:
Nd  0.0000  0.1516  0.2500 x4
Tl  0.0000  0.1523  0.7500 x4
Pb  0.0000  0.5000  0.0000 x4

Computed properties:
Formation energy from the elements, eV/f.u.: -1.031
DOS(E_F), states/eV/atom: 0.589
Volume, Å³/atom: 30.25
Excess energy over the best structure of this formula in the dataset, eV per atom: 0.000
Total DFT energy (no corrections), eV/atom: -3.96

=====

Entry 11:
A plane-wave DFT calculation with PBE was carried out for Nd2TlPb9 after structural relaxation.

Cell: 4.8907 4.8907 15.3083 Å, 90.00 90.00 90.00°
Space group P4/mmm (No. 123)
One atom of each set of equivalent atoms:
Nd  0.0000  0.0000  0.1542 x2
Tl  0.0000  0.0000  0.5000 x1
Pb  0.0000  0.5000  0.0000 x2
Pb  0.0000  0.5000  0.3314 x4
Pb  0.5000  0.5000  0.1698 x2
Pb  0.5000  0.5000  0.5000 x1

Computed properties:
Formation energy from the elements, eV/f.u.: -2.847
DOS(E_F), states/eV/atom: 0.497
Volume, Å³/atom: 30.51
Total DFT energy (no corrections), eV/atom: -4.01

=====

Entry 12:
A plane-wave DFT calculation with PBE was carried out for Nd2TlPb2 after structural relaxation.

Cell: 8.2984 8.2984 4.5515 Å, 90.00 90.00 90.00°
Space group P4/mbm (No. 127)
One atom of each set of equivalent atoms:
Nd  0.1757  0.3243  0.0000 x4
Tl  0.0000  0.0000  0.5000 x2
Pb  0.1288  0.6288  0.5000 x4

Computed properties:
Formation energy from the elements, eV/f.u.: -2.113
DOS(E_F), states/eV/atom: 0.579
Volume, Å³/atom: 31.34
Excess energy over the best structure of this formula in the dataset, eV per atom: 0.000
Total DFT energy (no corrections), eV/atom: -4.29

=====

- Look up the formation energy from the elements of the first one.
  -0.957 eV/f.u.